Below is crystalline NaV2I at its relaxed geometry, with properties calculated at the PBE level.

abc: 6.746 6.746 6.746
angles: 101.51 101.51 126.94
Fractional coordinates of all 8 atoms:
Na 0.000 0.000 0.000
Na 0.750 0.250 0.500
V 0.181 0.125 0.556
V 0.375 0.819 0.944
V 0.569 0.625 0.444
V 0.875 0.431 0.056
I 0.250 0.750 0.500
I 0.500 0.500 0.000

ρ   3.81 Mg/m³
E_form (uncorrected)   1.081 eV/atom
Energy above the most stable polymorph in this dataset   0 meV/atom